No. 1
# Zr2Pa2BeIr4 GGA-PBE relaxed
data_Zr2Pa2BeIr4
_chemical_formula_sum 'Zr4 Pa4 Be2 Ir8'
_cell_length_a 6.0648
_cell_length_b 6.0648
_cell_length_c 8.8942
_cell_angle_alpha 90.00
_cell_angle_beta 90.00
_cell_angle_gamma 90.00
_space_group_name_H-M_alt 'I 4/m m m'
_space_group_IT_number 139
_space_group_name_Hall '-I 4 2'
loop_
_atom_site_label
_atom_site_type_symbol
_atom_site_fract_x
_atom_site_fract_y
_atom_site_fract_z
Zr1 Zr 0.0000 0.5000 0.2500
Pa1 Pa 0.0000 0.0000 0.2079
Be1 Be 0.0000 0.0000 0.5000
Ir1 Ir 0.2458 0.2458 0.0000
# - uncorrected energy (eV/atom) = -8.78
# - formation enthalpy at 0 K (eV per atom) = -0.417

=====

No. 2
# BeIr4Pb2 GGA-PBE relaxed
data_BeIr4Pb2
_chemical_formula_sum 'Be2 Ir8 Pb4'
_cell_length_a 4.2458
_cell_length_b 4.2458
_cell_length_c 13.9039
_cell_angle_alpha 90.00
_cell_angle_beta 90.00
_cell_angle_gamma 90.00
_space_group_name_H-M_alt 'I 4/m m m'
_space_group_IT_number 139
_space_group_name_Hall '-I 4 2'
loop_
_atom_site_label
_atom_site_type_symbol
_atom_site_fract_x
_atom_site_fract_y
_atom_site_fract_z
Be1 Be 0.0000 0.0000 0.0000
Ir1 Ir 0.0000 0.0000 0.1511
Ir2 Ir 0.0000 0.5000 0.0000
Pb1 Pb 0.0000 0.0000 0.3500
# - uncorrected energy (eV/atom) = -6.15
# - formation enthalpy at 0 K (eV per atom) = 0.503